(1)
# GGA-PBEsol GeBMo2, optimized geometry
data_GeBMo2
_chemical_formula_sum 'Ge4 B4 Mo8'
_space_group_name_H-M_alt 'F m -3 m'
_space_group_IT_number 225
_space_group_name_Hall '-F 4 2 3'
_cell_length_a 5.8890
_cell_length_b 5.8890
_cell_length_c 5.8890
_cell_angle_alpha 90.00
_cell_angle_beta 90.00
_cell_angle_gamma 90.00
loop_
_atom_site_label
_atom_site_type_symbol
_atom_site_fract_x
_atom_site_fract_y
_atom_site_fract_z
Ge1 Ge 0.0000 0.0000 0.0000
B1 B 0.0000 0.0000 0.5000
Mo1 Mo 0.2500 0.2500 0.2500
# volume: 204 Å³ per cell
# final energy: -8.537 eV per atom
# calculated formation energy: 0.3358 eV per atom
# total magnetization: 0.0 μB per cell


(2)
# GGA-PBEsol GeBMoOs2, optimized geometry
data_GeBMoOs2
_chemical_formula_sum 'Ge1 B1 Mo1 Os2'
_space_group_name_H-M_alt 'P 4/m m m'
_space_group_IT_number 123
_space_group_name_Hall '-P 4 2'
_cell_length_a 4.0627
_cell_length_b 4.0627
_cell_length_c 4.1365
_cell_angle_alpha 90.00
_cell_angle_beta 90.00
_cell_angle_gamma 90.00
loop_
_atom_site_label
_atom_site_type_symbol
_atom_site_fract_x
_atom_site_fract_y
_atom_site_fract_z
Ge1 Ge 0.0000 0.0000 0.0000
B1 B 0.5000 0.5000 0.5000
Mo1 Mo 0.5000 0.5000 0.0000
Os1 Os 0.0000 0.5000 0.5000
# volume: 68 Å³ per cell
# final energy: -9.211 eV per atom
# calculated formation energy: 0.4199 eV per atom
# total magnetization: 0.7 μB per cell


(3)
# GGA-PBEsol TlGeBMo2, optimized geometry
data_TlGeBMo2
_chemical_formula_sum 'Tl1 Ge1 B1 Mo2'
_space_group_name_H-M_alt 'P 4/m m m'
_space_group_IT_number 123
_space_group_name_Hall '-P 4 2'
_cell_length_a 4.7881
_cell_length_b 4.7881
_cell_length_c 3.6917
_cell_angle_alpha 90.00
_cell_angle_beta 90.00
_cell_angle_gamma 90.00
loop_
_atom_site_label
_atom_site_type_symbol
_atom_site_fract_x
_atom_site_fract_y
_atom_site_fract_z
Tl1 Tl 0.0000 0.0000 0.0000
Ge1 Ge 0.5000 0.5000 0.5000
B1 B 0.5000 0.5000 0.0000
Mo1 Mo 0.0000 0.5000 0.5000
# volume: 85 Å³ per cell
# final energy: -6.187 eV per atom
# calculated formation energy: 1.4370 eV per atom
# total magnetization: 0.0 μB per cell


(4)
# GGA-PBEsol GeBSeN2, optimized geometry
data_GeBSeN2
_chemical_formula_sum 'Ge1 B1 Se1 N2'
_space_group_name_H-M_alt 'P 4/m m m'
_space_group_IT_number 123
_space_group_name_Hall '-P 4 2'
_cell_length_a 3.3181
_cell_length_b 3.3181
_cell_length_c 5.9715
_cell_angle_alpha 90.00
_cell_angle_beta 90.00
_cell_angle_gamma 90.00
loop_
_atom_site_label
_atom_site_type_symbol
_atom_site_fract_x
_atom_site_fract_y
_atom_site_fract_z
Ge1 Ge 0.0000 0.0000 0.0000
B1 B 0.5000 0.5000 0.5000
Se1 Se 0.5000 0.5000 0.0000
N1 N 0.0000 0.5000 0.5000
# volume: 66 Å³ per cell
# final energy: -5.401 eV per atom
# raw formation energy: 1.17 eV per atom
# total magnetization: 0.0 μB per cell


(5)
# GGA-PBEsol NbGeB2, optimized geometry
data_NbGeB2
_chemical_formula_sum 'Nb4 Ge4 B8'
_space_group_name_H-M_alt 'I -4 2 d'
_space_group_IT_number 122
_space_group_name_Hall 'I -4 2bw'
_cell_length_a 5.7881
_cell_length_b 5.7881
_cell_length_c 5.7811
_cell_angle_alpha 90.00
_cell_angle_beta 90.00
_cell_angle_gamma 90.00
loop_
_atom_site_label
_atom_site_type_symbol
_atom_site_fract_x
_atom_site_fract_y
_atom_site_fract_z
Nb1 Nb 0.0000 0.0000 0.0000
Ge1 Ge 0.0000 0.0000 0.5000
B1 B 0.2158 0.7500 0.6250
# volume: 194 Å³ per cell
# final energy: -7.000 eV per atom
# calculated formation energy: 0.4479 eV per atom
# total magnetization: 0.0 μB per cell


(6)
# GGA-PBEsol Nb5Ge3B, optimized geometry
data_Nb5Ge3B
_chemical_formula_sum 'Nb10 Ge6 B2'
_space_group_name_H-M_alt 'P 63/m c m'
_space_group_IT_number 193
_space_group_name_Hall '-P 6c 2'
_cell_length_a 7.7107
_cell_length_b 7.7107
_cell_length_c 5.3065
_cell_angle_alpha 90.00
_cell_angle_beta 90.00
_cell_angle_gamma 120.00
loop_
_atom_site_label
_atom_site_type_symbol
_atom_site_fract_x
_atom_site_fract_y
_atom_site_fract_z
Nb1 Nb 0.0000 0.2449 0.2500
Nb2 Nb 0.3333 0.6667 0.0000
Ge1 Ge 0.0000 0.4003 0.7500
B1 B 0.0000 0.0000 0.0000
# volume: 273 Å³ per cell
# final energy: -9.074 eV per atom
# calculated formation energy: -0.6359 eV per atom
# total magnetization: 0.0 μB per cell


(7)
# GGA-PBEsol Nd2GeB2O8, optimized geometry
data_Nd2GeB2O8
_chemical_formula_sum 'Nd8 Ge4 B8 O32'
_space_group_name_H-M_alt 'P b c n'
_space_group_IT_number 60
_cell_length_a 13.7037
_cell_length_b 4.4675
_cell_length_c 9.4542
_cell_angle_alpha 90.00
_cell_angle_beta 90.00
_cell_angle_gamma 90.00
loop_
_space_group_symop_operation_xyz
'x,y,z'
'-x,-y,-z'
'-x+1/2,-y+1/2,z+1/2'
'x+1/2,y+1/2,-z+1/2'
'x+1/2,-y+1/2,-z'
'-x+1/2,y+1/2,z'
'-x,y,-z+1/2'
'x,-y,z+1/2'
loop_
_atom_site_label
_atom_site_type_symbol
_atom_site_fract_x
_atom_site_fract_y
_atom_site_fract_z
Nd1 Nd 0.1406 0.0420 0.0255
Ge1 Ge 0.0000 0.4247 0.7500
B1 B 0.2002 0.4671 0.2952
O1 O 0.0045 0.2050 0.9007
O2 O 0.1066 0.3459 0.2330
O3 O 0.1922 0.4620 0.4473
O4 O 0.2183 0.2243 0.7392
# volume: 579 Å³ per cell
# final energy: -8.279 eV per atom
# raw formation energy: -2.79 eV per atom
# total magnetization: 0.0 μB per cell


(8)
# GGA-PBEsol Ni21Ge2B6, optimized geometry
data_Ni21Ge2B6
_chemical_formula_sum 'Ni84 Ge8 B24'
_space_group_name_H-M_alt 'F m -3 m'
_space_group_IT_number 225
_space_group_name_Hall '-F 4 2 3'
_cell_length_a 10.3429
_cell_length_b 10.3429
_cell_length_c 10.3429
_cell_angle_alpha 90.00
_cell_angle_beta 90.00
_cell_angle_gamma 90.00
loop_
_atom_site_label
_atom_site_type_symbol
_atom_site_fract_x
_atom_site_fract_y
_atom_site_fract_z
Ni1 Ni 0.0000 0.0000 0.0000
Ni2 Ni 0.0000 0.1685 0.1685
Ni3 Ni 0.1191 0.1191 0.3809
Ge1 Ge 0.2500 0.2500 0.2500
B1 B 0.0000 0.0000 0.2732
# volume: 1106 Å³ per cell
# final energy: -6.584 eV per atom
# calculated formation energy: -0.3333 eV per atom
# total magnetization: 0.0 μB per cell


(9)
# GGA-PBEsol Ni8Ge2B3, optimized geometry
data_Ni8Ge2B3
_chemical_formula_sum 'Ni16 Ge4 B6'
_space_group_name_H-M_alt 'P m m n'
_space_group_IT_number 59
_cell_length_a 2.9128
_cell_length_b 14.4982
_cell_length_c 6.0002
_cell_angle_alpha 90.00
_cell_angle_beta 90.00
_cell_angle_gamma 90.00
loop_
_space_group_symop_operation_xyz
'x,y,z'
'-x,-y,-z'
'-x+1/2,-y+1/2,z'
'x+1/2,y+1/2,-z'
'x+1/2,-y,-z'
'-x+1/2,y,z'
'-x,y+1/2,-z'
'x,-y+1/2,z'
loop_
_atom_site_label
_atom_site_type_symbol
_atom_site_fract_x
_atom_site_fract_y
_atom_site_fract_z
Ni1 Ni 0.2500 0.0235 0.1996
Ni2 Ni 0.2500 0.1050 0.6339
Ni3 Ni 0.2500 0.2500 0.0752
Ni4 Ni 0.2500 0.6634 0.6594
Ni5 Ni 0.2500 0.7500 0.2972
Ge1 Ge 0.2500 0.6255 0.0375
B1 B 0.2500 0.2500 0.4571
B2 B 0.2500 0.5328 0.5404
# volume: 253 Å³ per cell
# final energy: -6.552 eV per atom
# calculated formation energy: -0.3833 eV per atom
# total magnetization: 0.0 μB per cell


(10)
# GGA-PBEsol Ni2GeB, optimized geometry
data_Ni2GeB
_chemical_formula_sum 'Ni8 Ge4 B4'
_space_group_name_H-M_alt 'F m -3 m'
_space_group_IT_number 225
_space_group_name_Hall '-F 4 2 3'
_cell_length_a 5.4507
_cell_length_b 5.4507
_cell_length_c 5.4507
_cell_angle_alpha 90.00
_cell_angle_beta 90.00
_cell_angle_gamma 90.00
loop_
_atom_site_label
_atom_site_type_symbol
_atom_site_fract_x
_atom_site_fract_y
_atom_site_fract_z
Ni1 Ni 0.2500 0.2500 0.2500
Ge1 Ge 0.0000 0.0000 0.0000
B1 B 0.0000 0.0000 0.5000
# volume: 162 Å³ per cell
# final energy: -5.905 eV per atom
# calculated formation energy: 0.1625 eV per atom
# total magnetization: 0.0 μB per cell


(11)
# GGA-PBEsol Tc2NiGeB, optimized geometry
data_Tc2NiGeB
_chemical_formula_sum 'Tc2 Ni1 Ge1 B1'
_space_group_name_H-M_alt 'P 4/m m m'
_space_group_IT_number 123
_space_group_name_Hall '-P 4 2'
_cell_length_a 4.5529
_cell_length_b 4.5529
_cell_length_c 3.5898
_cell_angle_alpha 90.00
_cell_angle_beta 90.00
_cell_angle_gamma 90.00
loop_
_atom_site_label
_atom_site_type_symbol
_atom_site_fract_x
_atom_site_fract_y
_atom_site_fract_z
Tc1 Tc 0.0000 0.5000 0.0000
Ni1 Ni 0.0000 0.0000 0.5000
Ge1 Ge 0.5000 0.5000 0.0000
B1 B 0.5000 0.5000 0.5000
# volume: 74 Å³ per cell
# final energy: -6.365 eV per atom
# calculated formation energy: 1.7641 eV per atom
# total magnetization: 0.0 μB per cell


(12)
# GGA-PBEsol TiNi2GeB, optimized geometry
data_TiNi2GeB
_chemical_formula_sum 'Ti1 Ni2 Ge1 B1'
_space_group_name_H-M_alt 'P 4/m m m'
_space_group_IT_number 123
_space_group_name_Hall '-P 4 2'
_cell_length_a 4.3074
_cell_length_b 4.3074
_cell_length_c 4.1573
_cell_angle_alpha 90.00
_cell_angle_beta 90.00
_cell_angle_gamma 90.00
loop_
_atom_site_label
_atom_site_type_symbol
_atom_site_fract_x
_atom_site_fract_y
_atom_site_fract_z
Ti1 Ti 0.0000 0.0000 0.0000
Ni1 Ni 0.0000 0.5000 0.0000
Ge1 Ge 0.5000 0.5000 0.5000
B1 B 0.0000 0.0000 0.5000
# volume: 77 Å³ per cell
# final energy: -5.286 eV per atom
# calculated formation energy: 1.2327 eV per atom
# total magnetization: 0.0 μB per cell


(13)
# GGA-PBEsol GeB2O, optimized geometry
data_GeB2O
_chemical_formula_sum 'Ge4 B8 O4'
_space_group_name_H-M_alt 'F m -3 m'
_space_group_IT_number 225
_space_group_name_Hall '-F 4 2 3'
_cell_length_a 5.3595
_cell_length_b 5.3595
_cell_length_c 5.3595
_cell_angle_alpha 90.00
_cell_angle_beta 90.00
_cell_angle_gamma 90.00
loop_
_atom_site_label
_atom_site_type_symbol
_atom_site_fract_x
_atom_site_fract_y
_atom_site_fract_z
Ge1 Ge 0.0000 0.0000 0.0000
B1 B 0.2500 0.2500 0.2500
O1 O 0.0000 0.0000 0.5000
# volume: 154 Å³ per cell
# final energy: -4.538 eV per atom
# raw formation energy: 1.52 eV per atom
# total magnetization: 0.0 μB per cell


(14)
# GGA-PBEsol GeBP2O, optimized geometry
data_GeBP2O
_chemical_formula_sum 'Ge1 B1 P2 O1'
_space_group_name_H-M_alt 'P 4/m m m'
_space_group_IT_number 123
_space_group_name_Hall '-P 4 2'
_cell_length_a 4.7147
_cell_length_b 4.7147
_cell_length_c 3.4744
_cell_angle_alpha 90.00
_cell_angle_beta 90.00
_cell_angle_gamma 90.00
loop_
_atom_site_label
_atom_site_type_symbol
_atom_site_fract_x
_atom_site_fract_y
_atom_site_fract_z
Ge1 Ge 0.0000 0.0000 0.0000
B1 B 0.5000 0.5000 0.5000
P1 P 0.0000 0.5000 0.0000
O1 O 0.0000 0.0000 0.5000
# volume: 77 Å³ per cell
# final energy: -4.669 eV per atom
# raw formation energy: 1.09 eV per atom
# total magnetization: 0.0 μB per cell


(15)
# GGA-PBEsol Rb2GeB4O9, optimized geometry
data_Rb2GeB4O9
_chemical_formula_sum 'Rb8 Ge4 B16 O36'
_space_group_name_H-M_alt 'P 1 21 1'
_space_group_IT_number 4
_cell_length_a 6.6340
_cell_length_b 9.8792
_cell_length_c 13.3054
_cell_angle_alpha 90.00
_cell_angle_beta 90.31
_cell_angle_gamma 90.00
loop_
_space_group_symop_operation_xyz
'x,y,z'
'-x,y+1/2,-z'
loop_
_atom_site_label
_atom_site_type_symbol
_atom_site_fract_x
_atom_site_fract_y
_atom_site_fract_z
Rb1 Rb 0.2025 0.0000 0.1258
Rb2 Rb 0.2401 0.2778 0.3817
Rb3 Rb 0.2759 0.2801 0.8653
Rb4 Rb 0.2826 0.0629 0.6180
Ge1 Ge 0.2407 0.7862 0.3690
Ge2 Ge 0.2565 0.7757 0.8846
B1 B 0.0040 0.4735 0.1754
B2 B 0.1014 0.4502 0.6631
B3 B 0.1544 0.6119 0.0443
B4 B 0.1639 0.5910 0.5158
B5 B 0.3062 0.6112 0.2065
B6 B 0.3669 0.5854 0.7454
B7 B 0.4320 0.4537 0.5926
B8 B 0.4543 0.4719 0.0745
O1 O 0.0203 0.0277 0.9191
O2 O 0.0256 0.5423 0.5826
O3 O 0.0624 0.8709 0.2953
O4 O 0.0798 0.6928 0.9590
O5 O 0.0886 0.6891 0.4517
O6 O 0.1202 0.8681 0.7925
O7 O 0.1435 0.5173 0.2439
O8 O 0.1731 0.5392 0.7491
O9 O 0.2319 0.6943 0.1249
O10 O 0.2681 0.3688 0.6269
O11 O 0.3104 0.5143 0.0075
O12 O 0.3593 0.5467 0.5102
O13 O 0.3913 0.6902 0.2884
O14 O 0.3997 0.8780 0.4497
O15 O 0.4162 0.8731 0.9630
O16 O 0.4346 0.6803 0.8156
O17 O 0.4755 0.5216 0.1699
O18 O 0.4930 0.0428 0.3227
# volume: 872 Å³ per cell
# final energy: -7.433 eV per atom
# raw formation energy: -2.29 eV per atom
# total magnetization: 0.2 μB per cell


(16)
# GGA-PBEsol RbGeB3O7, optimized geometry
data_RbGeB3O7
_chemical_formula_sum 'Rb4 Ge4 B12 O28'
_space_group_name_H-M_alt 'P n a 21'
_space_group_IT_number 33
_cell_length_a 9.4163
_cell_length_b 9.4646
_cell_length_c 6.9884
_cell_angle_alpha 90.00
_cell_angle_beta 90.00
_cell_angle_gamma 90.00
loop_
_space_group_symop_operation_xyz
'x,y,z'
'-x,-y,z+1/2'
'-x+1/2,y+1/2,z+1/2'
'x+1/2,-y+1/2,z'
loop_
_atom_site_label
_atom_site_type_symbol
_atom_site_fract_x
_atom_site_fract_y
_atom_site_fract_z
Rb1 Rb 0.0230 0.1718 0.0000
Ge1 Ge 0.2413 0.6004 0.0177
B1 B 0.0250 0.2744 0.5523
B2 B 0.1501 0.4243 0.3110
B3 B 0.1759 0.4820 0.6428
O1 O 0.0609 0.3168 0.3550
O2 O 0.0835 0.3786 0.6924
O3 O 0.0849 0.1331 0.5922
O4 O 0.1285 0.7390 0.0770
O5 O 0.1908 0.4372 0.1220
O6 O 0.2038 0.5143 0.4502
O7 O 0.2491 0.5666 0.7688
# volume: 623 Å³ per cell
# final energy: -7.569 eV per atom
# raw formation energy: -2.26 eV per atom
# total magnetization: 0.0 μB per cell


(17)
# GGA-PBEsol Ge2BSbO, optimized geometry
data_Ge2BSbO
_chemical_formula_sum 'Ge2 B1 Sb1 O1'
_space_group_name_H-M_alt 'P 4/m m m'
_space_group_IT_number 123
_space_group_name_Hall '-P 4 2'
_cell_length_a 5.1784
_cell_length_b 5.1784
_cell_length_c 2.9286
_cell_angle_alpha 90.00
_cell_angle_beta 90.00
_cell_angle_gamma 90.00
loop_
_atom_site_label
_atom_site_type_symbol
_atom_site_fract_x
_atom_site_fract_y
_atom_site_fract_z
Ge1 Ge 0.0000 0.5000 0.0000
B1 B 0.0000 0.0000 0.0000
Sb1 Sb 0.5000 0.5000 0.5000
O1 O 0.0000 0.0000 0.5000
# volume: 79 Å³ per cell
# final energy: -5.271 eV per atom
# raw formation energy: 0.07 eV per atom
# total magnetization: 0.0 μB per cell